Record 1
## BaPd3W (PBE)

Data for an optimized crystal structure of BaPd3W.

```
data_BaPd3W
_chemical_formula_sum 'Ba1 Pd3 W1'
_cell_length_a 5.152
_cell_length_b 5.152
_cell_length_c 5.152
_cell_angle_alpha 90.00
_cell_angle_beta 90.00
_cell_angle_gamma 90.00
_symmetry_space_group_name_H-M 'P m -3 m'
_symmetry_Int_Tables_number 221
_symmetry_space_group_name_Hall '-P 4 2 3'
loop_
_atom_site_label
_atom_site_type_symbol
_atom_site_fract_x
_atom_site_fract_y
_atom_site_fract_z
Ba1 Ba 0.000 0.000 0.000
Pd1 Pd 0.000 0.000 0.500
W1 W 0.500 0.500 0.500
```

energy of formation = 11.35 eV/f.u.
ρ = 7.78 Mg/m³
polymorph energy (0 for the lowest one) = 1.900 eV/atom
size of the total moment = 0.00 μB per formula unit
DOS at the Fermi energy = 24.69 states/eV/f.u.


Record 2
## SrCeAs2 (PBE)

Data for an optimized crystal structure of SrCeAs2.

```
data_SrCeAs2
_chemical_formula_sum 'Sr3 Ce3 As6'
_cell_length_a 4.2956
_cell_length_b 4.2956
_cell_length_c 22.0444
_cell_angle_alpha 90.00
_cell_angle_beta 90.00
_cell_angle_gamma 120.00
_symmetry_space_group_name_H-M 'R 3 m'
_symmetry_Int_Tables_number 160
_symmetry_space_group_name_Hall 'R 3 -2"'
loop_
_atom_site_label
_atom_site_type_symbol
_atom_site_fract_x
_atom_site_fract_y
_atom_site_fract_z
Sr1 Sr 0.0000 0.0000 0.0000
Ce1 Ce 0.0000 0.0000 0.1710
As1 As 0.0000 0.0000 0.5763
As2 As 0.0000 0.0000 0.7639
```

energy of formation = -4.87 eV/f.u.
ρ = 5.34 Mg/m³
polymorph energy (0 for the lowest one) = 0.082 eV/atom
size of the total moment = 0.00 μB per formula unit


Record 3
## Zn2TcAu (PBE)

Data for an optimized crystal structure of Zn2TcAu.

```
data_Zn2TcAu
_chemical_formula_sum 'Zn6 Tc3 Au3'
_cell_length_a 2.8314
_cell_length_b 2.8314
_cell_length_c 26.6211
_cell_angle_alpha 90.00
_cell_angle_beta 90.00
_cell_angle_gamma 120.00
_symmetry_space_group_name_H-M 'R -3 m'
_symmetry_Int_Tables_number 166
_symmetry_space_group_name_Hall '-R 3 2"'
loop_
_atom_site_label
_atom_site_type_symbol
_atom_site_fract_x
_atom_site_fract_y
_atom_site_fract_z
Zn1 Zn 0.0000 0.0000 0.2476
Tc1 Tc 0.0000 0.0000 0.5000
Au1 Au 0.0000 0.0000 0.0000
```

energy of formation = 0.10 eV/f.u.
ρ = 11.48 Mg/m³
polymorph energy (0 for the lowest one) = 0.024 eV/atom
size of the total moment = 0.00 μB per formula unit
DOS at the Fermi energy = 1.79 states/eV/f.u.


no.,calculated volume (Å³/cell)
1,136.72
2,352.27
3,184.83